1.
{"formula": "TiReP2", "functional": "PBE", "state": "optimized geometry", "formation_enthalpy_0k_mev_per_atom": -331, "e_above_lowest_polymorph_mev_per_atom": 193, "lattice": [[1.8634, 1.0758, 5.0107], [-1.8634, 1.0758, 5.0107], [0.0000, -2.1516, 5.0107]], "species": ["Ti", "Re", "P", "P"], "fractional_positions": [[0.0000, 0.0000, 0.0000], [0.5000, 0.5000, 0.5000], [0.2412, 0.2412, 0.2412], [0.7588, 0.7588, 0.7588]]}

2.
{"formula": "Zn2Os2Pd", "functional": "PBE", "state": "optimized geometry", "formation_enthalpy_0k_mev_per_atom": 469, "e_above_lowest_polymorph_mev_per_atom": 0, "lattice": [[-1.7676, 1.7676, 6.5226], [1.7676, -1.7676, 6.5226], [1.7676, 1.7676, -6.5226]], "species": ["Zn", "Zn", "Os", "Os", "Pd"], "fractional_positions": [[0.0937, 0.0937, 0.0000], [0.9063, 0.9063, 0.0000], [0.2500, 0.7500, 0.5000], [0.7500, 0.2500, 0.5000], [0.5000, 0.5000, 0.0000]]}

3.
{"formula": "BaCuAgAu2", "functional": "PBE", "state": "optimized geometry", "formation_enthalpy_0k_mev_per_atom": -224, "lattice": [[5.0469, 0.0000, 0.0000], [0.0000, 5.0469, 0.0000], [0.0000, 0.0000, 4.9716]], "species": ["Ba", "Cu", "Ag", "Au", "Au"], "fractional_positions": [[0.0000, 0.0000, 0.0000], [0.5000, 0.5000, 0.5000], [0.5000, 0.5000, 0.0000], [0.0000, 0.5000, 0.5000], [0.5000, 0.0000, 0.5000]]}

4.
{"formula": "CaReTe2", "functional": "PBE", "state": "optimized geometry", "raw_formation_energy_ev_per_fu": 2.28, "e_above_lowest_polymorph_mev_per_atom": 785, "lattice": [[1.6721, 0.9654, 10.1127], [-1.6721, 0.9654, 10.1127], [0.0000, -1.9307, 10.1127]], "species": ["Ca", "Re", "Te", "Te"], "fractional_positions": [[0.0000, 0.0000, 0.0000], [0.5000, 0.5000, 0.5000], [0.4155, 0.4155, 0.4155], [0.5845, 0.5845, 0.5845]]}

no.,D(E_F) (states/eV per cell)
1,3.89
2,4.06
3,1.60
4,5.06